1.
Material: Cs2NaSn
Method: DFT, PBE
State: optimized geometry

## Properties
Space-group type   Fm-3m, No. 225
V   212 Å³ per cell
DFT total energy   -6.65 eV/cell
Excess energy over the best structure of this formula in the dataset   17.9 kJ per mole of atoms
Calculated formation energy   0.095 eV per atom

Cell: 6.691 6.691 6.691 Å, 60.00 60.00 60.00°
Last column: magnetic moment on the atom in μB.
Element x y z (fractional)
Na: 0.000 0.000 0.000  -0.03
Sn: 0.500 0.500 0.500  0.39
Cs: 0.750 0.750 0.750  0.02
Cs: 0.250 0.250 0.250  0.02

---

2.
Material: CaLaPI
Method: DFT, PBE
State: optimized geometry

## Properties
Space-group type   R3m, No. 160
V   122 Å³ per cell
DFT total energy   -19.38 eV/cell
E_form (uncorrected)   -1374 meV per atom

Cell: 4.256 4.256 8.173 Å, 90.00 105.09 120.00°
Last column: magnetic moment on the atom in μB.
Element x y z (fractional)
Ca: 0.099 0.947 0.061  0.03
La: 0.506 0.151 0.672  0.23
I: 0.963 0.380 0.358  0.00
P: 0.310 0.553 0.878  -0.01

---

- Which of these has the highest V?
  Cs2NaSn